VASP calculation (GGA-PBE) on a relaxed Ca6P2SeBr3 crystal.

a = 7.329 Å, b = 12.695 Å, c = 7.425 Å
α = 90.00°, β = 109.21°, γ = 90.00°
Space group C2/m (No. 12)
Unique sites:
Ca 0.224 0.000 0.209
Ca 0.243 0.327 0.210
P 0.000 0.167 0.000
Se 0.000 0.500 0.000
Br 0.000 0.000 0.500
Br 0.000 0.337 0.500

Computed properties:
- total moment (μB/atom) = 0.00
- uncorrected formation energy (meV per atom) = -1608
- D(E_F) (states/eV/f.u.) = 3.79